## Li2CaNiTe (PBE)

Data for a relaxed Li2CaNiTe crystal.

Energy relative to the elements, uncorrected (eV per atom): -0.290
DFT total energy (eV per cell): -16.2
Symmetry: P4/mmm (123)

a b c (Å): 4.6787 5.2450 4.6787
angles (deg): 90.00 90.00 90.00
Fractional coordinates of all 5 atoms:
Ni1 0.0000 0.0000 0.0000
Ca1 0.0000 0.5000 0.0000
Li1 0.5000 0.0000 0.0000
Li2 0.0000 0.0000 0.5000
Te1 0.5000 0.5000 0.5000



## La8Tb3Pm3 (PBE)

Data for a relaxed La8Tb3Pm3 crystal.

DFT formation energy (meV per atom): 98
DFT total energy (eV per cell): -66.2
Symmetry: Immm (71)

a b c (Å): 5.7459 9.9310 9.9310
angles (deg): 102.02 73.18 73.18
Fractional coordinates of all 14 atoms:
Tb1 0.5000 0.0000 0.0000
Tb2 0.0000 0.8227 0.1773
Tb3 0.0000 0.1773 0.8227
Pm1 0.8032 0.1968 0.1968
Pm2 0.5000 0.5000 0.5000
Pm3 0.1968 0.8032 0.8032
La1 0.3439 0.4255 0.8866
La2 0.3439 0.8866 0.4255
La3 0.8382 0.5550 0.7686
La4 0.1618 0.4450 0.2314
La5 0.8382 0.7686 0.5550
La6 0.6561 0.1134 0.5745
La7 0.1618 0.2314 0.4450
La8 0.6561 0.5745 0.1134



## Mo2OsPt (PBE)

Data for a relaxed Mo2OsPt crystal.

ΔE to the lowest computed polymorph (kJ per mole of atoms): 12.58
DFT formation energy (meV per atom): -36
DFT total energy (eV per cell): -39.1
Symmetry: Cm (8)

a b c (Å): 4.8219 4.8219 4.8441
angles (deg): 80.51 80.51 33.62
Fractional coordinates of all 4 atoms:
Os1 0.4978 0.4978 0.5189
Mo1 0.9982 0.9982 0.0142
Mo2 0.7555 0.7555 0.7290
Pt1 0.2485 0.2485 0.2379



## Dy6BiIr2Se3 (PBE)

Data for a relaxed Dy6BiIr2Se3 crystal.

Energy relative to the elements, uncorrected (eV per atom): -1.251
DFT total energy (eV per cell): -74.7
Symmetry: C2/m (12)

a b c (Å): 4.1004 8.5213 9.4102
angles (deg): 105.46 102.58 90.00
Fractional coordinates of all 12 atoms:
Ir1 0.8310 0.6617 0.6621
Ir2 0.1690 0.3383 0.3379
Se1 0.5000 0.5000 0.0000
Se2 0.8398 0.1616 0.6795
Se3 0.1602 0.8384 0.3205
Dy1 0.0122 0.2693 0.0245
Dy2 0.6748 0.5712 0.3496
Dy3 0.3242 0.8836 0.6484
Dy4 0.9878 0.7307 0.9755
Dy5 0.3252 0.4288 0.6504
Dy6 0.6758 0.1164 0.3516
Bi1 0.5000 0.0000 0.0000



Number 1 is which compound?
Li2CaNiTe



Number 4 is which compound?
Dy6BiIr2Se3



What is the DFT total energy in the fourth record?
-74.7 eV per cell



Which of these has the lowest DFT total energy?
Dy6BiIr2Se3